[1]
A geometry-optimized CsThAl structure. Source: the Open Quantum Materials Database, functional PBE.

crystal system: cubic
distance to the lowest polymorph of the same formula: 0.00 kcal/mol of atoms
total DFT energy (no corrections): -3.0457 eV per atom

Unit cell a=7.763 b=7.763 c=7.763 alpha=90.00 beta=90.00 gamma=90.00
Space group F-43m (No. 216)
Asymmetric unit:
Cs 0.000 0.000 0.000 x4
Th 0.000 0.000 0.500 x4
Al 0.250 0.250 0.250 x4

=====

[2]
A geometry-optimized Cs2PrHoO4 structure. Source: the Open Quantum Materials Database, functional PBE.

crystal system: trigonal
total DFT energy (no corrections): -6.3984 eV per atom

Unit cell a=3.5955 b=3.5955 c=13.6167 alpha=90.00 beta=90.00 gamma=120.00
Space group P-3m1 (No. 164)
Asymmetric unit:
Cs 0.3333 0.6667 0.2459 x2
Pr 0.0000 0.0000 0.5000 x1
Ho 0.0000 0.0000 0.0000 x1
O 0.3333 0.6667 0.5910 x2
O 0.3333 0.6667 0.9200 x2

=====

[3]
A geometry-optimized Li2Ta2AlInIr2 structure. Source: the Open Quantum Materials Database, functional PBE.

crystal system: tetragonal
total DFT energy (no corrections): -7.0016 eV per atom

Unit cell a=4.407 b=4.407 c=6.287 alpha=90.00 beta=90.00 gamma=90.00
Space group P-4m2 (No. 115)
Asymmetric unit:
Li 0.000 0.500 0.241 x2
Ta 0.000 0.000 0.000 x1
Ta 0.500 0.500 0.500 x1
Al 0.500 0.500 0.000 x1
In 0.000 0.000 0.500 x1
Ir 0.000 0.500 0.763 x2